# 1
Material: La6FeHg2I3
Method: DFT, PBE
State: relaxed

Output
Total magnetic moment ... 0.00 μB/cell
Formation energy from raw total energies ... -8.11 eV per formula unit
VASP energy ... -51.4 eV for the cell shown

a = 7.5216 Å, b = 7.5216 Å, c = 8.3699 Å
α = 99.08°, β = 99.08°, γ = 115.20°
With the nearest neighbours (Å) after each atom.
Sites, in units of the cell vectors:
La1 0.9415 0.6496 0.8122  1 Fe 2.66
La2 0.7795 0.7795 0.2279  1 Fe 2.97, 2 Hg 3.14
La3 0.0585 0.3504 0.1878  1 Fe 2.66
La4 0.6496 0.9415 0.8122  1 Fe 2.66
La5 0.2205 0.2205 0.7721  1 Fe 2.97, 2 Hg 3.14
La6 0.3504 0.0585 0.1878  1 Fe 2.66
Fe1 0.0000 0.0000 0.0000  6 La 2.66-2.97
Hg1 0.3496 0.6504 0.0000  6 La 3.14-3.22
Hg2 0.6504 0.3496 0.0000  6 La 3.14-3.22
I1 0.1817 0.8183 0.5000  6 La 3.36-3.69
I2 0.8183 0.1817 0.5000  6 La 3.36-3.69
I3 0.5000 0.5000 0.5000  6 La 3.50-3.65


# 2
Material: TiReI2
Method: DFT, PBE
State: relaxed

Output
Total magnetic moment ... 0.00 μB/cell
Formation energy from raw total energies ... 3.62 eV per formula unit
ΔE to the lowest computed polymorph ... 0 meV per atom
VASP energy ... -39.7 eV for the cell shown

a = 4.7338 Å, b = 4.7338 Å, c = 9.0353 Å
α = 74.81°, β = 74.81°, γ = 90.00°
With the nearest neighbours (Å) after each atom.
Sites, in units of the cell vectors:
I1 0.6304 0.1250 0.2500  2 Re 2.67, 2 Ti 2.70
I2 0.1196 0.6250 0.2500  2 Re 2.67, 2 Ti 2.70
I3 0.3750 0.3696 0.7500  2 Re 2.67, 2 Ti 2.70
I4 0.8750 0.8804 0.7500  2 Re 2.67, 2 Ti 2.70
Re1 0.0000 0.0000 0.0000  4 I 2.67
Re2 0.7500 0.2500 0.5000  4 I 2.67
Ti1 0.5000 0.5000 0.0000  4 I 2.70
Ti2 0.2500 0.7500 0.5000  4 I 2.70


# 3
Material: Sr2HoMgAu6
Method: DFT, PBE
State: relaxed

Output
Total magnetic moment ... 0.00 μB/cell
E_form ... -6.0 eV/f.u.
VASP energy ... -35.2 eV for the cell shown

a = 9.2398 Å, b = 7.3013 Å, c = 6.1377 Å
α = 51.12°, β = 58.44°, γ = 88.36°
With the nearest neighbours (Å) after each atom.
Sites, in units of the cell vectors:
Sr1 0.2818 0.7880 0.5239  8 Au 3.11-3.38
Sr2 0.7182 0.2120 0.4761  8 Au 3.11-3.38
Ho1 0.5000 0.5000 0.0000  6 Au 2.91-3.10
Mg1 0.0000 0.0000 0.0000  6 Au 2.72-2.89
Au1 0.2154 0.7126 0.1328  2 Au 2.84-2.92, 1 Mg 2.89, 1 Ho 3.02, 2 Sr 3.11
Au2 0.6617 0.7407 0.2407  1 Mg 2.74, 3 Au 2.83-2.92
Au3 0.1119 0.2350 0.3403  1 Mg 2.72, 3 Au 2.76-2.92, 1 Ho 2.91
Au4 0.7846 0.2874 0.8672  2 Au 2.84-2.92, 1 Mg 2.89, 1 Ho 3.02, 2 Sr 3.11
Au5 0.3383 0.2593 0.7593  1 Mg 2.74, 3 Au 2.83-2.92
Au6 0.8881 0.7650 0.6597  1 Mg 2.72, 3 Au 2.76-2.92, 1 Ho 2.91


# 4
Material: Co2P2Pd
Method: DFT, PBE
State: relaxed

Output
Total magnetic moment ... 0.00 μB/cell
E_form ... -0.8 eV/f.u.
ΔE to the lowest computed polymorph ... 175 meV per atom
VASP energy ... -31.0 eV for the cell shown

a = 3.5227 Å, b = 3.5227 Å, c = 5.6742 Å
α = 71.92°, β = 71.92°, γ = 90.00°
With the nearest neighbours (Å) after each atom.
Sites, in units of the cell vectors:
P1 0.7500 0.2500 0.5000  4 Co 2.20
P2 0.2500 0.7500 0.5000  4 Co 2.20
Co1 0.3786 0.3786 0.2427  4 P 2.20
Co2 0.6214 0.6214 0.7573  4 P 2.20
Pd1 0.0000 0.0000 0.0000  8 Co 2.78, 8 P 3.10


# 5
Material: CaTlW
Method: DFT, PBE
State: relaxed

Output
Total magnetic moment ... 0.00 μB/cell
E_form ... 2.0 eV/f.u.
ΔE to the lowest computed polymorph ... 14 meV per atom
VASP energy ... -15.3 eV for the cell shown

a = 7.7744 Å, b = 7.6830 Å, c = 3.0070 Å
α = 80.50°, β = 77.08°, γ = 22.43°
With the nearest neighbours (Å) after each atom.
Sites, in units of the cell vectors:
Tl1 0.3247 0.3247 0.6753  4 Tl 3.01, 4 W 3.03-3.25, 2 Ca 3.33
Ca1 0.0062 0.0062 0.9938  4 Ca 3.01, 4 W 3.11-3.33, 2 Tl 3.33
W1 0.6691 0.6691 0.3309  4 W 3.01, 4 Tl 3.03-3.25, 4 Ca 3.11-3.33


# 6
Material: NaLiCeTl
Method: DFT, PBE
State: relaxed

Output
Total magnetic moment ... 0.92 μB/cell
E_form ... 0.0 eV/f.u.
VASP energy ... -11.6 eV for the cell shown

a = 5.2937 Å, b = 5.2937 Å, c = 5.2937 Å
α = 60.00°, β = 60.00°, γ = 60.00°
With the nearest neighbours (Å) after each atom.
Sites, in units of the cell vectors:
Na1 0.7500 0.7500 0.7500  4 Ce 3.24, 4 Li 3.24
Tl1 0.2500 0.2500 0.2500  4 Li 3.24, 4 Ce 3.24
Ce1 0.0000 0.0000 0.0000  4 Tl 3.24, 4 Na 3.24
Li1 0.5000 0.5000 0.5000  4 Na 3.24, 4 Tl 3.24


# 7
Material: PrHoAg4
Method: DFT, PBE
State: relaxed

Output
Total magnetic moment ... 0.35 μB/cell
E_form ... 0.1 eV/f.u.
ΔE to the lowest computed polymorph ... 280 meV per atom
VASP energy ... -20.7 eV for the cell shown

a = 3.9628 Å, b = 3.9481 Å, c = 9.7537 Å
α = 90.00°, β = 90.00°, γ = 89.99°
With the nearest neighbours (Å) after each atom.
Sites, in units of the cell vectors:
Pr1 0.5013 0.4971 0.9982  8 Ag 3.22
Ho1 0.0014 0.9973 0.4981  8 Ag 3.06
Ag1 0.5013 0.9973 0.2594  4 Ag 2.80, 2 Ho 3.06
Ag2 0.5013 0.9973 0.7369  4 Ag 2.80, 2 Ho 3.06
Ag3 0.0013 0.4974 0.7376  4 Ag 2.80, 2 Ho 3.06
Ag4 0.0013 0.4973 0.2586  4 Ag 2.80, 2 Ho 3.06


# 8
Material: CePmBi2
Method: DFT, PBE
State: relaxed

Output
Total magnetic moment ... 1.10 μB/cell
E_form ... -2.8 eV/f.u.
ΔE to the lowest computed polymorph ... 175 meV per atom
VASP energy ... -21.2 eV for the cell shown

a = 3.4340 Å, b = 5.9544 Å, c = 5.9544 Å
α = 90.00°, β = 90.00°, γ = 90.00°
With the nearest neighbours (Å) after each atom.
Sites, in units of the cell vectors:
Bi1 0.0000 0.0000 0.5000  2 Bi 3.43, 4 Pm 3.44, 4 Ce 3.44
Bi2 0.0000 0.5000 0.0000  2 Bi 3.43, 4 Pm 3.44, 4 Ce 3.44
Ce1 0.5000 0.0000 0.0000  2 Ce 3.43, 8 Bi 3.44
Pm1 0.5000 0.5000 0.5000  2 Pm 3.43, 8 Bi 3.44